DFT (PBE) results for a geometry-optimized Cu2HgBi2 structure.

The structure in CIF format:
```
data_Cu2HgBi2
_cell_length_a 7.2044
_cell_length_b 7.2044
_cell_length_c 4.2001
_cell_angle_alpha 90.00
_cell_angle_beta 90.00
_cell_angle_gamma 90.00
_symmetry_space_group_name_H-M 'P 4/m b m'
_symmetry_Int_Tables_number 127
_symmetry_space_group_name_Hall '-P 4 2ab'
loop_
_atom_site_label
_atom_site_type_symbol
_atom_site_fract_x
_atom_site_fract_y
_atom_site_fract_z
Cu1 Cu 0.1233 0.3767 0.0000
Hg1 Hg 0.0000 0.0000 0.0000
Bi1 Bi 0.1704 0.6704 0.5000
```

## Properties
formation energy from the elements = 0.186 eV per atom
E above lowest polymorph = 0.072 eV per atom